Compound: CoOs4
Source: Alexandria
Functional: PBE-GGA
Structure: optimized geometry

Computed properties:
For the energy relative to the elements, the calculation gives 2.019 eV/atom. The value obtained for the density of states at the Fermi level is 1.32 states/eV per atom. The offset from the most stable computed form comes out at 905 kJ/mol of formula units. The total magnetization is 0.00 μB/cell. Its total energy is -8.39 eV/atom.

a = 4.3189 Å, b = 4.3189 Å, c = 4.3189 Å
α = 90.00°, β = 90.00°, γ = 90.00°
With the nearest neighbours (Å) after each atom.
Sites, in units of the cell vectors:
Co (0.5000, 0.5000, 0.5000)  6 Os 2.16
Os (0.0000, 0.5000, 0.5000)  2 Co 2.16
Os (0.5000, 0.5000, 0.0000)  2 Co 2.16
Os (0.5000, 0.0000, 0.5000)  2 Co 2.16
Os (0.0000, 0.0000, 0.0000)  12 Os 3.05

---

Compound: Co4Os
Source: Alexandria
Functional: PBE-GGA
Structure: optimized geometry

Computed properties:
For the energy relative to the elements, the calculation gives 0.106 eV/atom. The value obtained for the density of states at the Fermi level is 1.22 states/eV per atom. The offset from the most stable computed form comes out at 0 kJ/mol of formula units. The total magnetization is 3.54 μB/cell. Its total energy is -7.82 eV/atom.

a = 4.3637 Å, b = 4.3637 Å, c = 4.3637 Å
α = 99.58°, β = 99.58°, γ = 131.84°
With the nearest neighbours (Å) after each atom.
Sites, in units of the cell vectors:
Co (0.6017, 0.8012, 0.4029)  3 Os 2.51-2.53, 9 Co 2.51-2.53
Co (0.8012, 0.3983, 0.1994)  3 Os 2.51-2.53, 9 Co 2.51-2.53
Co (0.1988, 0.6017, 0.8006)  3 Os 2.51-2.53, 9 Co 2.51-2.53
Co (0.3983, 0.1988, 0.5971)  3 Os 2.51-2.53, 9 Co 2.51-2.53
Os (0.0000, 0.0000, 0.0000)  12 Co 2.51-2.53

---

Compound: Co2Os
Source: Alexandria
Functional: PBE-GGA
Structure: optimized geometry

Computed properties:
For the energy relative to the elements, the calculation gives 0.132 eV/atom. The value obtained for the density of states at the Fermi level is 1.39 states/eV per atom. The offset from the most stable computed form comes out at 11 kJ/mol of formula units. The total magnetization is 2.85 μB/cell. Its total energy is -8.35 eV/atom.

a = 5.6976 Å, b = 5.6976 Å, c = 3.6291 Å
α = 90.00°, β = 90.00°, γ = 143.01°
With the nearest neighbours (Å) after each atom.
Sites, in units of the cell vectors:
Co (0.4180, 0.5820, 0.2500)  6 Co 2.54-2.58, 6 Os 2.56-2.57
Co (0.7476, 0.2524, 0.2500)  4 Os 2.51-2.55, 8 Co 2.55-2.58
Co (0.5820, 0.4180, 0.7500)  6 Co 2.54-2.58, 6 Os 2.56-2.57
Co (0.2524, 0.7476, 0.7500)  4 Os 2.51-2.55, 8 Co 2.55-2.58
Os (0.0867, 0.9133, 0.2500)  10 Co 2.51-2.57, 2 Os 2.61
Os (0.9133, 0.0867, 0.7500)  10 Co 2.51-2.57, 2 Os 2.61

---

Compound: Co5Os
Source: Alexandria
Functional: PBE-GGA
Structure: optimized geometry

Computed properties:
For the energy relative to the elements, the calculation gives 0.089 eV/atom. The value obtained for the density of states at the Fermi level is 1.19 states/eV per atom. The offset from the most stable computed form comes out at 6 kJ/mol of formula units. The total magnetization is 7.20 μB/cell. Its total energy is -7.70 eV/atom.

a = 4.7948 Å, b = 4.7948 Å, c = 9.6612 Å
α = 140.42°, β = 140.42°, γ = 31.12°
With the nearest neighbours (Å) after each atom.
Sites, in units of the cell vectors:
Os (0.7771, 0.7771, 0.0563)  10 Co 2.50-2.58, 2 Os 2.57
Co (0.1093, 0.1093, 0.7176)  10 Co 2.46-2.57, 2 Os 2.58
Co (0.3295, 0.3295, 0.6617)  11 Co 2.48-2.57, 1 Os 2.53
Co (0.4487, 0.4487, 0.3965)  10 Co 2.47-2.57, 2 Os 2.58
Co (0.6727, 0.6727, 0.3377)  10 Co 2.46-2.57, 2 Os 2.55
Co (0.9960, 0.9960, 0.9970)  3 Os 2.50-2.52, 9 Co 2.50-2.57

---

Compound: Co4Os
Source: Alexandria
Functional: PBE-GGA
Structure: optimized geometry

Computed properties:
For the energy relative to the elements, the calculation gives 1.777 eV/atom. The value obtained for the density of states at the Fermi level is 2.18 states/eV per atom. The offset from the most stable computed form comes out at 806 kJ/mol of formula units. The total magnetization is 4.64 μB/cell. Its total energy is -6.15 eV/atom.

a = 4.4180 Å, b = 4.4180 Å, c = 4.4180 Å
α = 90.00°, β = 90.00°, γ = 90.00°
With the nearest neighbours (Å) after each atom.
Sites, in units of the cell vectors:
Os (0.5000, 0.5000, 0.5000)  6 Co 2.21
Co (0.5000, 0.0000, 0.5000)  2 Os 2.21
Co (0.0000, 0.0000, 0.0000)  12 Co 3.12
Co (0.5000, 0.5000, 0.0000)  2 Os 2.21
Co (0.0000, 0.5000, 0.5000)  2 Os 2.21

---

Compound: Co5Os3
Source: Alexandria
Functional: PBE-GGA
Structure: optimized geometry

Computed properties:
For the energy relative to the elements, the calculation gives 0.360 eV/atom. The value obtained for the density of states at the Fermi level is 1.17 states/eV per atom. The offset from the most stable computed form comes out at 0 kJ/mol of formula units. The total magnetization is 4.10 μB/cell. Its total energy is -8.29 eV/atom.

a = 6.7380 Å, b = 6.7380 Å, c = 7.7922 Å
α = 97.89°, β = 97.89°, γ = 141.42°
With the nearest neighbours (Å) after each atom.
Sites, in units of the cell vectors:
Os (0.7859, 0.7023, 0.9991)  2 Os 2.47, 4 Co 2.48-2.54
Os (0.2638, 0.7638, 0.1358)  5 Co 2.39-2.60, 1 Os 2.40
Os (0.8239, 0.6802, 0.5017)  10 Co 2.45-2.60
Os (0.1802, 0.3239, 0.5017)  10 Co 2.45-2.60
Os (0.7397, 0.2397, 0.8667)  5 Co 2.38-2.63, 1 Os 2.40
Os (0.2022, 0.2859, 0.9991)  2 Os 2.47, 4 Co 2.48-2.54
Co (0.7801, 0.2801, 0.5399)  4 Co 2.29-2.43, 2 Os 2.54
Co (0.6636, 0.3665, 0.1837)  5 Os 2.46-2.75, 4 Co 2.48-2.61
Co (0.2340, 0.0406, 0.3295)  5 Os 2.39-2.60, 4 Co 2.41-2.60
Co (0.3400, 0.6364, 0.8194)  5 Os 2.45-2.74, 4 Co 2.49-2.62
Co (0.8665, 0.1636, 0.1837)  5 Os 2.46-2.75, 4 Co 2.48-2.61
Co (0.1364, 0.8400, 0.8194)  5 Os 2.45-2.74, 4 Co 2.49-2.62
Co (0.7645, 0.9614, 0.6691)  5 Os 2.38-2.59, 5 Co 2.41-2.65
Co (0.4614, 0.2645, 0.6691)  5 Os 2.38-2.59, 5 Co 2.41-2.65
Co (0.2237, 0.7237, 0.4596)  4 Co 2.29-2.44, 2 Os 2.55
Co (0.5406, 0.7340, 0.3295)  5 Os 2.39-2.60, 4 Co 2.41-2.60

---

Compound: CoOs4
Source: Alexandria
Functional: PBE-GGA
Structure: optimized geometry

Computed properties:
For the energy relative to the elements, the calculation gives 0.142 eV/atom. The value obtained for the density of states at the Fermi level is 0.97 states/eV per atom. The offset from the most stable computed form comes out at 0 kJ/mol of formula units. The total magnetization is 0.00 μB/cell. Its total energy is -10.26 eV/atom.

a = 4.6498 Å, b = 4.6498 Å, c = 4.6498 Å
α = 99.56°, β = 99.56°, γ = 131.89°
With the nearest neighbours (Å) after each atom.
Sites, in units of the cell vectors:
Os (0.5938, 0.7953, 0.3891)  9 Os 2.63-2.72, 3 Co 2.66-2.73
Os (0.7953, 0.4062, 0.2015)  9 Os 2.63-2.72, 3 Co 2.66-2.73
Os (0.4062, 0.2047, 0.6109)  9 Os 2.63-2.72, 3 Co 2.66-2.73
Os (0.2047, 0.5938, 0.7985)  9 Os 2.63-2.72, 3 Co 2.66-2.73
Co (0.0000, 0.0000, 0.0000)  12 Os 2.66-2.73

---

Compound: Co2Os
Source: Alexandria
Functional: PBE-GGA
Structure: optimized geometry

Computed properties:
For the energy relative to the elements, the calculation gives 0.124 eV/atom. The value obtained for the density of states at the Fermi level is 1.10 states/eV per atom. The offset from the most stable computed form comes out at 8 kJ/mol of formula units. The total magnetization is 4.46 μB/cell. Its total energy is -8.36 eV/atom.

a = 4.8338 Å, b = 4.8338 Å, c = 6.0522 Å
α = 77.04°, β = 77.04°, γ = 31.67°
With the nearest neighbours (Å) after each atom.
Sites, in units of the cell vectors:
Co (0.3311, 0.3311, 0.3347)  3 Os 2.51-2.53, 9 Co 2.53-2.64
Co (0.6669, 0.6669, 0.6637)  7 Co 2.52-2.64, 5 Os 2.53-2.56
Co (0.6115, 0.6115, 0.2762)  8 Co 2.51-2.64, 4 Os 2.57-2.58
Co (0.9994, 0.9994, 0.0058)  8 Co 2.51-2.64, 4 Os 2.53-2.58
Os (0.9468, 0.9468, 0.6052)  8 Co 2.53-2.58, 4 Os 2.64
Os (0.2775, 0.2775, 0.9478)  8 Co 2.51-2.58, 4 Os 2.64